This record from Alexandria describes crystalline Ac8RhPb3 at its relaxed geometry. The functional is GGA-PBE.

The structure in POSCAR format:
```
Ac8RhPb3
1.0
-3.943 3.943 7.914
3.943 -3.943 7.914
3.943 3.943 -7.914
Ac Rh Pb
8 1 3
direct
0.119 0.119 0.472 Ac
0.119 0.647 0.000 Ac
0.353 0.353 0.472 Ac
0.353 0.881 0.000 Ac
0.647 0.119 0.000 Ac
0.647 0.647 0.528 Ac
0.881 0.353 0.000 Ac
0.881 0.881 0.528 Ac
0.000 0.000 0.000 Rh
0.250 0.750 0.500 Pb
0.500 0.500 0.000 Pb
0.750 0.250 0.500 Pb
```

Results
Its electronic total energy is -54.53 eV for the cell shown. Its density of states at the Fermi level is 13.635 states/eV/cell. For the energy of formation from the pure elements, the calculation gives -0.27 eV/atom. The calculation puts the spin magnetization at 0.00 Bohr magnetons per cell.